Entry 1:
Computed, not measured: a geometry-optimized Na2SbH structure at the PBE-GGA level of DFT.

E above lowest polymorph, meV per atom: 233
Crystal system: tetragonal
Space-group type: I-42d, No. 122

a = 6.662 Å, b = 6.662 Å, c = 6.306 Å
α = 58.11°, β = 58.11°, γ = 90.00°
Sites, in units of the cell vectors:
Na  0.265  0.625  0.250
Na  0.375  0.515  0.750
Sb  0.000  0.000  0.000
H  0.250  0.750  0.500
Sb  0.750  0.250  0.500
H  0.500  0.500  0.000
Na  0.485  0.125  0.250
Na  0.875  0.735  0.750

Entry 2:
Computed, not measured: a geometry-optimized Na2SbH2 structure at the PBE-GGA level of DFT.

E above lowest polymorph, meV per atom: 36
Crystal system: triclinic
Space-group type: P-1, No. 2

a = 7.039 Å, b = 3.477 Å, c = 5.618 Å
α = 127.28°, β = 100.60°, γ = 105.43°
Sites, in units of the cell vectors:
Na  0.207  0.169  0.317
H  0.828  0.717  0.062
Na  0.793  0.831  0.683
Sb  0.500  0.500  0.000
H  0.172  0.283  0.938

Entry 3:
Computed, not measured: a geometry-optimized Na3Sb2H structure at the PBE-GGA level of DFT.

Final energy, eV/atom: -2.80
Crystal system: monoclinic
Space-group type: P2_1/c, No. 14

a = 9.370 Å, b = 6.645 Å, c = 13.588 Å
α = 90.00°, β = 127.81°, γ = 90.00°
Sites, in units of the cell vectors:
Sb  0.091  0.179  0.075
Na  0.504  0.013  0.721
Na  0.914  0.112  0.579
H  0.317  0.536  0.289
Na  0.586  0.612  0.921
Sb  0.909  0.821  0.925
Na  0.414  0.388  0.079
H  0.683  0.464  0.711
Sb  0.591  0.321  0.575
Na  0.220  0.409  0.547
Sb  0.696  0.741  0.197
Na  0.280  0.909  0.953
Na  0.086  0.888  0.421
Sb  0.304  0.259  0.803
Na  0.004  0.487  0.221
Na  0.780  0.591  0.453
Sb  0.804  0.241  0.303
Na  0.720  0.091  0.047
Na  0.496  0.987  0.279
Sb  0.409  0.679  0.425
Sb  0.196  0.759  0.697
Na  0.996  0.513  0.779
H  0.183  0.036  0.211
H  0.817  0.964  0.789